P:
Density functional theory data (PBE) for a relaxed structure of AlTc2Cl.

Lattice parameters (Å, degrees): 8.547 8.547 8.547 19.30 19.30 19.30
Site moments in Bohr magnetons follow the coordinates.
Fractional positions:
Al 0.250 0.250 0.250  0.00
Tc 0.001 0.001 0.001  0.40
Tc 0.499 0.499 0.499  0.40
Cl 0.750 0.750 0.750  0.01

---

Q:
Density functional theory data (PBE) for a relaxed structure of AlTc2Cl.

Lattice parameters (Å, degrees): 2.796 4.895 4.501 90.00 90.00 90.00
Fractional positions:
Al 0.500 0.000 0.500
Tc 0.000 0.000 0.000
Tc 0.500 0.500 0.000
Cl 0.000 0.500 0.500

---

Short version: P, Q, most stable first.

---

P:
Density functional theory data (PBE) for a relaxed structure of AlTc2Cl.

Lattice parameters (Å, degrees): 9.462 9.462 9.462 17.66 17.66 17.66
Fractional positions:
Al 0.503 0.503 0.503
Tc 0.981 0.981 0.981
Tc 0.243 0.243 0.243
Cl 0.774 0.774 0.774

---

Q:
Density functional theory data (PBE) for a relaxed structure of AlTc2Cl.

Lattice parameters (Å, degrees): 5.139 5.139 4.518 85.02 85.02 32.02
Fractional positions:
Al 0.750 0.750 0.750
Tc 0.039 0.039 0.974
Tc 0.461 0.461 0.526
Cl 0.250 0.250 0.250

---

R:
Density functional theory data (PBE) for a relaxed structure of AlTc2Cl.

Lattice parameters (Å, degrees): 4.448 4.448 4.448 60.00 60.00 60.00
Site moments in Bohr magnetons follow the coordinates.
Fractional positions:
Al 0.500 0.500 0.500  0.01
Tc 0.000 0.000 0.000  0.03
Tc 0.250 0.250 0.250  0.89
Cl 0.750 0.750 0.750  0.09

---

S:
Density functional theory data (PBE) for a relaxed structure of AlTc2Cl.

Lattice parameters (Å, degrees): 2.885 2.885 8.547 90.00 90.00 116.80
Fractional positions:
Al 0.000 0.000 0.500
Tc 0.000 0.000 0.020
Tc 0.500 0.500 0.258
Cl 0.500 0.500 0.723

---

Short version: P, S, Q, R, most stable first.

---

P:
Density functional theory data (PBE) for a relaxed structure of AlTc2Cl.

Lattice parameters (Å, degrees): 4.714 4.714 4.714 129.42 129.42 74.34
Fractional positions:
Al 0.500 0.500 0.000
Tc 0.000 0.000 0.000
Tc 0.250 0.750 0.500
Cl 0.750 0.250 0.500

---

Q:
Density functional theory data (PBE) for a relaxed structure of AlTc2Cl.

Lattice parameters (Å, degrees): 5.253 5.253 5.253 149.18 123.67 65.60
Fractional positions:
Al 0.250 0.750 0.500
Tc 0.986 0.986 0.000
Tc 0.514 0.514 0.000
Cl 0.750 0.250 0.500

---

Short version: Q, P, most stable first.